--- 1 ---
A relaxed structure of Ca2TeCl, computed with PBE.

Calculated values
Spin magnetization, μB per atom: 0.0007
Symmetry: No. 71

Cell: 5.619 5.619 5.619 Å, 133.61 111.58 86.70°
Sites, in units of the cell vectors:
Ca: 0.228 0.228 0.000
Ca: 0.772 0.772 0.000
Te: 0.500 0.000 0.500
Cl: 0.000 0.500 0.500



--- 2 ---
A relaxed structure of Ca2TeCl, computed with PBE.

Calculated values
Spin magnetization, μB per atom: 0.2153
Symmetry: No. 10

Cell: 4.005 4.052 7.368 Å, 90.00 90.32 90.00°
Sites, in units of the cell vectors:
Ca: 0.004 0.000 0.237
Ca: 0.996 0.000 0.763
Te: 0.500 0.500 0.000
Cl: 0.000 0.500 0.500



--- 3 ---
A relaxed structure of Ca2TeCl, computed with PBE.

Calculated values
Spin magnetization, μB per atom: 0.2228
Symmetry: No. 216

Cell: 5.510 5.510 5.510 Å, 60.00 60.00 60.00°
Sites, in units of the cell vectors:
Ca: 0.000 0.000 0.000
Ca: 0.250 0.250 0.250
Te: 0.500 0.500 0.500
Cl: 0.750 0.750 0.750



Relative energies, eV/atom: 1 0.047; 2 0.000; 3 0.701.